(1)
Compound: ZnTe2Ru
Source: the Alexandria database
Functional: GGA-PBE
Structure: optimized geometry

The structure belongs to space group I-42d (No. 122); the cell edges are 6.1912, 6.1912 and 11.5799 Å and the angles 90.00°, 90.00° and 90.00°. Symmetry generates all atoms from Zn at (0.0000, 0.0000, 0.0000), Te at (0.2315, 0.2500, 0.6250) and Ru at (0.0000, 0.0000, 0.5000).

The calculation puts the uncorrected formation energy at 0.0639 eV per atom.

***

(2)
Compound: ZnTe2Ru
Source: the Alexandria database
Functional: GGA-PBE
Structure: optimized geometry

The structure belongs to space group Imm2 (No. 44); the cell edges are 3.2715, 4.1243 and 13.2344 Å and the angles 90.00°, 90.00° and 90.00°. Symmetry generates all atoms from Zn at (0.0000, 0.0000, 0.0000), Te at (0.0000, 0.0000, 0.3877), Te at (0.0000, 0.5000, 0.1606) and Ru at (0.0000, 0.5000, 0.7276).

The calculation puts the uncorrected formation energy at 0.1922 eV per atom.

***

(3)
Compound: Zn2TeRu2
Source: the Alexandria database
Functional: GGA-PBE
Structure: optimized geometry

The structure belongs to space group P4/mbm (No. 127); the cell edges are 6.6872, 6.6872 and 3.7622 Å and the angles 90.00°, 90.00° and 90.00°. Symmetry generates all atoms from Zn at (0.1425, 0.3575, 0.0000), Te at (0.0000, 0.0000, 0.5000) and Ru at (0.1506, 0.6506, 0.5000).

The calculation puts the uncorrected formation energy at 0.1766 eV per atom.

***

(4)
Compound: ZnTeRu2
Source: the Alexandria database
Functional: GGA-PBE
Structure: optimized geometry

The structure belongs to space group Cmmm (No. 65); the cell edges are 3.0923, 5.1301 and 8.4872 Å and the angles 90.00°, 90.00° and 90.00°. Symmetry generates all atoms from Zn at (0.0000, 0.0000, 0.0000), Te at (0.0000, 0.0000, 0.5000) and Ru at (0.0000, 0.5000, 0.2435).

The energy above the most stable polymorph in this dataset is 0.522 eV per atom. The calculation puts the uncorrected formation energy at 0.5783 eV per atom.

***

(5)
Compound: ZnTeRu2
Source: the Alexandria database
Functional: GGA-PBE
Structure: optimized geometry

The structure belongs to space group C2/m (No. 12); the cell edges are 8.3445, 3.0935 and 5.1090 Å and the angles 90.00°, 101.30° and 90.00°. Symmetry generates all atoms from Zn at (0.0000, 0.0000, 0.0000), Te at (0.0000, 0.5000, 0.5000) and Ru at (0.2490, 0.0000, 0.7515).

The energy above the most stable polymorph in this dataset is 0.168 eV per atom. The calculation puts the uncorrected formation energy at 0.2243 eV per atom.

***

(6)
Compound: ZnTe2Ru
Source: the Alexandria database
Functional: GGA-PBE
Structure: optimized geometry

The structure belongs to space group C2/m (No. 12); the cell edges are 6.8358, 3.9217 and 7.1145 Å and the angles 90.00°, 108.68° and 90.00°. Symmetry generates all atoms from Zn at (0.0000, 0.0000, 0.0000), Te at (0.2400, 0.0000, 0.7159) and Ru at (0.0000, 0.5000, 0.5000).

The calculation puts the uncorrected formation energy at 0.0130 eV per atom.

***

(7)
Compound: ZnTeRu3
Source: the Alexandria database
Functional: GGA-PBE
Structure: optimized geometry

The structure belongs to space group Pm-3m (No. 221); the cell edges are 4.5361, 4.5361 and 4.5361 Å and the angles 90.00°, 90.00° and 90.00°. Symmetry generates all atoms from Zn at (0.0000, 0.0000, 0.0000), Te at (0.5000, 0.5000, 0.5000) and Ru at (0.0000, 0.0000, 0.5000).

The energy above the most stable polymorph in this dataset is 0.000 eV per atom. The calculation puts the uncorrected formation energy at 1.3604 eV per atom.

***

(8)
Compound: Zn2TeRu
Source: the Alexandria database
Functional: GGA-PBE
Structure: optimized geometry

The structure belongs to space group Cm (No. 8); the cell edges are 8.4513, 3.2211 and 5.9766 Å and the angles 90.00°, 91.38° and 90.00°. Symmetry generates all atoms from Zn at (0.0000, 0.0000, 0.0000), Zn at (0.2203, 0.5000, 0.8272), Te at (0.1087, 0.5000, 0.4043) and Ru at (0.2847, 0.0000, 0.1570).

The calculation puts the uncorrected formation energy at 0.0195 eV per atom.

***

(9)
Compound: ZnTeRu2
Source: the Alexandria database
Functional: GGA-PBE
Structure: optimized geometry

The structure belongs to space group P4mm (No. 99); the cell edges are 3.4132, 3.4132 and 5.6741 Å and the angles 90.00°, 90.00° and 90.00°. Symmetry generates all atoms from Zn at (0.0000, 0.0000, 0.0000), Te at (0.5000, 0.5000, 0.6787), Ru at (0.0000, 0.0000, 0.4698) and Ru at (0.5000, 0.5000, 0.1627).

The energy above the most stable polymorph in this dataset is 0.233 eV per atom. The calculation puts the uncorrected formation energy at 0.2893 eV per atom.

***

(10)
Compound: ZnTe2Ru
Source: the Alexandria database
Functional: GGA-PBE
Structure: optimized geometry

The structure belongs to space group Pm (No. 6); the cell edges are 4.4660, 4.7960 and 4.5520 Å and the angles 90.00°, 111.88° and 90.00°. Symmetry generates all atoms from Zn at (0.0000, 0.0000, 0.0000), Te at (0.3520, 0.0000, 0.6378), Te at (0.7994, 0.5000, 0.1887) and Ru at (0.1643, 0.5000, 0.8191).

The calculation puts the uncorrected formation energy at 0.0658 eV per atom.

***

(11)
Compound: ZnTeRu2
Source: the Alexandria database
Functional: GGA-PBE
Structure: optimized geometry

The structure belongs to space group Fm-3m (No. 225); the cell edges are 6.2770, 6.2770 and 6.2770 Å and the angles 90.00°, 90.00° and 90.00°. Symmetry generates all atoms from Zn at (0.0000, 0.0000, 0.0000), Te at (0.0000, 0.0000, 0.5000) and Ru at (0.2500, 0.2500, 0.2500).

The energy above the most stable polymorph in this dataset is 0.000 eV per atom. The calculation puts the uncorrected formation energy at 0.0566 eV per atom.

***

(12)
Compound: Zn2TeRu
Source: the Alexandria database
Functional: GGA-PBE
Structure: optimized geometry

The structure belongs to space group R-3m (No. 166, hexagonal axes); the cell edges are 3.0836, 3.0836 and 27.7425 Å and the angles 90.00°, 90.00° and 120.00°. Symmetry generates all atoms from Zn at (0.0000, 0.0000, 0.2342), Te at (0.0000, 0.0000, 0.0000) and Ru at (0.0000, 0.0000, 0.5000).

The calculation puts the uncorrected formation energy at 0.3294 eV per atom.

***

Question: Number 12 is which compound?
Answer: Zn2TeRu